{
  "formula": "NaScFeSe3",
  "functional": "PBE",
  "state": "relaxed",
  "lattice": [[-2.989, 9.544, -2.473], [-3.258, -0.478, 2.093], [6.251, 4.760, 10.815]],
  "species": ["Fe", "Fe", "Fe", "Fe", "Na", "Na", "Na", "Na", "Sc", "Sc", "Sc", "Sc", "Se", "Se", "Se", "Se", "Se", "Se", "Se", "Se", "Se", "Se", "Se", "Se"],
  "fractional_positions": [[0.762, 0.000, 0.219], [0.262, 0.000, 0.281], [0.738, 0.500, 0.719], [0.238, 0.500, 0.781], [0.771, 0.500, 0.005], [0.271, 0.500, 0.495], [0.729, 0.000, 0.505], [0.229, 0.000, 0.995], [0.514, 0.500, 0.246], [0.014, 0.500, 0.254], [0.986, 0.000, 0.746], [0.486, 0.000, 0.754], [0.576, 0.000, 0.112], [0.954, 0.000, 0.119], [0.262, 0.500, 0.170], [0.762, 0.500, 0.330], [0.454, 0.000, 0.381], [0.076, 0.000, 0.388], [0.924, 0.500, 0.612], [0.546, 0.500, 0.619], [0.238, 0.000, 0.670], [0.738, 0.000, 0.830], [0.046, 0.500, 0.881], [0.424, 0.500, 0.888]],
  "sg": "Pnma",
  "total_energy_ev_per_fu": -32.7,
  "vol_a3_per_cell": 537.3
}